No. 1
VASP calculation (PBE) on an optimized crystal structure of SrCa2Al2Sn2.

Structure (CIF):
```
data_SrCa2Al2Sn2
_cell_length_a 4.9600
_cell_length_b 4.9600
_cell_length_c 28.4817
_cell_angle_alpha 90.00
_cell_angle_beta 90.00
_cell_angle_gamma 120.00
_space_group_name_H-M_alt 'R -3 m'
_space_group_IT_number 166
_space_group_name_Hall '-R 3 2"'
loop_
_atom_site_label
_atom_site_type_symbol
_atom_site_fract_x
_atom_site_fract_y
_atom_site_fract_z
_atom_site_occupancy
Sr1 Sr 0.0000 0.0000 0.0000 1
Ca1 Ca 0.0000 0.0000 0.1341 1
Al1 Al 0.0000 0.0000 0.4196 1
Sn1 Sn 0.0000 0.0000 0.2583 1
```

Output
**Electronic total energy**: -23.0 eV/f.u.
**M_tot**: 0.0 μB/f.u.
**Formation energy**: -1.82 eV per formula unit

=====

No. 2
VASP calculation (PBE) on an optimized crystal structure of SrCaAlSn.

Structure (CIF):
```
data_SrCaAlSn
_cell_length_a 7.798
_cell_length_b 7.798
_cell_length_c 7.798
_cell_angle_alpha 90.00
_cell_angle_beta 90.00
_cell_angle_gamma 90.00
_space_group_name_H-M_alt 'F -4 3 m'
_space_group_IT_number 216
_space_group_name_Hall 'F -4 2 3'
loop_
_atom_site_label
_atom_site_type_symbol
_atom_site_fract_x
_atom_site_fract_y
_atom_site_fract_z
_atom_site_occupancy
Sr1 Sr 0.000 0.000 0.000 1
Ca1 Ca 0.000 0.000 0.500 1
Al1 Al 0.250 0.250 0.750 1
Sn1 Sn 0.250 0.250 0.250 1
```

Output
**Electronic total energy**: -12.8 eV/f.u.
**M_tot**: 0.0 μB/f.u.
**Formation energy**: -1.41 eV per formula unit

=====

No. 3
VASP calculation (PBE) on an optimized crystal structure of Sr4CaAl.

Structure (CIF):
```
data_Sr4CaAl
_cell_length_a 10.416
_cell_length_b 10.416
_cell_length_c 10.416
_cell_angle_alpha 90.00
_cell_angle_beta 90.00
_cell_angle_gamma 90.00
_space_group_name_H-M_alt 'F -4 3 m'
_space_group_IT_number 216
_space_group_name_Hall 'F -4 2 3'
loop_
_atom_site_label
_atom_site_type_symbol
_atom_site_fract_x
_atom_site_fract_y
_atom_site_fract_z
_atom_site_occupancy
Sr1 Sr 0.124 0.124 0.124 1
Ca1 Ca 0.000 0.000 0.500 1
Al1 Al 0.250 0.250 0.750 1
```

Output
**Electronic total energy**: -10.0 eV/f.u.
**M_tot**: 0.0 μB/f.u.
**Formation energy**: 2.52 eV per formula unit

=====

No. 4
VASP calculation (PBE) on an optimized crystal structure of SrCaAl2.

Structure (CIF):
```
data_SrCaAl2
_cell_length_a 4.472
_cell_length_b 7.646
_cell_length_c 8.375
_cell_angle_alpha 90.00
_cell_angle_beta 105.34
_cell_angle_gamma 90.00
_space_group_name_H-M_alt 'P 1 21/m 1'
_space_group_IT_number 11
loop_
_space_group_symop_operation_xyz
'x,y,z'
'-x,-y,-z'
'-x,y+1/2,-z'
'x,-y+1/2,z'
loop_
_atom_site_label
_atom_site_type_symbol
_atom_site_fract_x
_atom_site_fract_y
_atom_site_fract_z
_atom_site_occupancy
Sr1 Sr 0.105 0.250 0.209 1
Ca1 Ca 0.376 0.250 0.753 1
Al1 Al 0.250 0.583 0.501 1
```

Output
**Electronic total energy**: -11.9 eV/f.u.
**M_tot**: 0.0 μB/f.u.
**Formation energy**: -0.69 eV per formula unit

=====

No. 5
VASP calculation (PBE) on an optimized crystal structure of Sr2CaAl.

Structure (CIF):
```
data_Sr2CaAl
_cell_length_a 8.301
_cell_length_b 8.301
_cell_length_c 8.301
_cell_angle_alpha 90.00
_cell_angle_beta 90.00
_cell_angle_gamma 90.00
_space_group_name_H-M_alt 'F -4 3 m'
_space_group_IT_number 216
_space_group_name_Hall 'F -4 2 3'
loop_
_atom_site_label
_atom_site_type_symbol
_atom_site_fract_x
_atom_site_fract_y
_atom_site_fract_z
_atom_site_occupancy
Sr1 Sr 0.000 0.000 0.000 1
Sr2 Sr 0.250 0.250 0.250 1
Ca1 Ca 0.250 0.250 0.750 1
Al1 Al 0.000 0.000 0.500 1
```

Output
**Electronic total energy**: -8.9 eV/f.u.
**M_tot**: 0.0 μB/f.u.
**Formation energy**: 0.18 eV per formula unit

=====

No. 6
VASP calculation (PBE) on an optimized crystal structure of SrCaAl2.

Structure (CIF):
```
data_SrCaAl2
_cell_length_a 10.553
_cell_length_b 4.532
_cell_length_c 6.667
_cell_angle_alpha 90.00
_cell_angle_beta 123.10
_cell_angle_gamma 90.00
_space_group_name_H-M_alt 'C 1 2/m 1'
_space_group_IT_number 12
loop_
_space_group_symop_operation_xyz
'x,y,z'
'-x,-y,-z'
'-x,y,-z'
'x,-y,z'
'x+1/2,y+1/2,z'
'-x+1/2,-y+1/2,-z'
'-x+1/2,y+1/2,-z'
'x+1/2,-y+1/2,z'
loop_
_atom_site_label
_atom_site_type_symbol
_atom_site_fract_x
_atom_site_fract_y
_atom_site_fract_z
_atom_site_occupancy
Sr1 Sr 0.000 0.000 0.000 1
Ca1 Ca 0.000 0.500 0.500 1
Al1 Al 0.242 0.000 0.604 1
```

Output
**Electronic total energy**: -11.5 eV/f.u.
**M_tot**: 0.0 μB/f.u.
**Formation energy**: -0.34 eV per formula unit

=====

No. 7
VASP calculation (PBE) on an optimized crystal structure of SrCaAl.

Structure (CIF):
```
data_SrCaAl
_cell_length_a 4.288
_cell_length_b 23.048
_cell_length_c 4.473
_cell_angle_alpha 90.00
_cell_angle_beta 90.00
_cell_angle_gamma 90.00
_space_group_name_H-M_alt 'C m c m'
_space_group_IT_number 63
_space_group_name_Hall '-C 2c 2'
loop_
_atom_site_label
_atom_site_type_symbol
_atom_site_fract_x
_atom_site_fract_y
_atom_site_fract_z
_atom_site_occupancy
Sr1 Sr 0.000 0.186 0.250 1
Ca1 Ca 0.000 0.427 0.250 1
Al1 Al 0.000 0.034 0.250 1
```

Output
**Electronic total energy**: -7.8 eV/f.u.
**M_tot**: 0.0 μB/f.u.
**Formation energy**: -0.40 eV per formula unit

=====

No. 8
VASP calculation (PBE) on an optimized crystal structure of SrCa4Al.

Structure (CIF):
```
data_SrCa4Al
_cell_length_a 9.892
_cell_length_b 9.892
_cell_length_c 9.892
_cell_angle_alpha 90.00
_cell_angle_beta 90.00
_cell_angle_gamma 90.00
_space_group_name_H-M_alt 'F -4 3 m'
_space_group_IT_number 216
_space_group_name_Hall 'F -4 2 3'
loop_
_atom_site_label
_atom_site_type_symbol
_atom_site_fract_x
_atom_site_fract_y
_atom_site_fract_z
_atom_site_occupancy
Sr1 Sr 0.000 0.000 0.000 1
Ca1 Ca 0.124 0.124 0.376 1
Al1 Al 0.250 0.250 0.750 1
```

Output
**Electronic total energy**: -11.7 eV/f.u.
**M_tot**: 0.0 μB/f.u.
**Formation energy**: 1.70 eV per formula unit

=====

No. 9
VASP calculation (PBE) on an optimized crystal structure of Sr2Ca2Al.

Structure (CIF):
```
data_Sr2Ca2Al
_cell_length_a 4.693
_cell_length_b 4.693
_cell_length_c 19.463
_cell_angle_alpha 90.00
_cell_angle_beta 90.00
_cell_angle_gamma 90.00
_space_group_name_H-M_alt 'I 4/m m m'
_space_group_IT_number 139
_space_group_name_Hall '-I 4 2'
loop_
_atom_site_label
_atom_site_type_symbol
_atom_site_fract_x
_atom_site_fract_y
_atom_site_fract_z
_atom_site_occupancy
Sr1 Sr 0.000 0.500 0.250 1
Ca1 Ca 0.000 0.000 0.085 1
Al1 Al 0.000 0.000 0.500 1
```

Output
**Electronic total energy**: -8.8 eV/f.u.
**M_tot**: 0.0 μB/f.u.
**Relative energy among the computed polymorphs**: 369 meV per atom
**Formation energy**: 2.36 eV per formula unit

=====

No. 10
VASP calculation (PBE) on an optimized crystal structure of SrCaAl2.

Structure (CIF):
```
data_SrCaAl2
_cell_length_a 3.881
_cell_length_b 3.881
_cell_length_c 7.485
_cell_angle_alpha 90.00
_cell_angle_beta 90.00
_cell_angle_gamma 90.00
_space_group_name_H-M_alt 'P 4/m m m'
_space_group_IT_number 123
_space_group_name_Hall '-P 4 2'
loop_
_atom_site_label
_atom_site_type_symbol
_atom_site_fract_x
_atom_site_fract_y
_atom_site_fract_z
_atom_site_occupancy
Sr1 Sr 0.000 0.000 0.000 1
Ca1 Ca 0.000 0.000 0.500 1
Al1 Al 0.500 0.500 0.290 1
```

Output
**Electronic total energy**: -11.8 eV/f.u.
**M_tot**: 0.0 μB/f.u.
**Formation energy**: -0.61 eV per formula unit

=====

No. 11
VASP calculation (PBE) on an optimized crystal structure of SrCaAl2.

Structure (CIF):
```
data_SrCaAl2
_cell_length_a 3.569
_cell_length_b 3.633
_cell_length_c 9.052
_cell_angle_alpha 90.00
_cell_angle_beta 90.00
_cell_angle_gamma 90.00
_space_group_name_H-M_alt 'P m m 2'
_space_group_IT_number 25
loop_
_space_group_symop_operation_xyz
'x,y,z'
'-x,-y,z'
'-x,y,z'
'x,-y,z'
loop_
_atom_site_label
_atom_site_type_symbol
_atom_site_fract_x
_atom_site_fract_y
_atom_site_fract_z
_atom_site_occupancy
Sr1 Sr 0.000 0.000 0.000 1
Ca1 Ca 0.500 0.500 0.374 1
Al1 Al 0.000 0.000 0.605 1
Al2 Al 0.500 0.500 0.747 1
```

Output
**Electronic total energy**: -11.4 eV/f.u.
**M_tot**: 0.0 μB/f.u.
**Formation energy**: -0.20 eV per formula unit

=====

No. 12
VASP calculation (PBE) on an optimized crystal structure of SrCa4Al4.

Structure (CIF):
```
data_SrCa4Al4
_cell_length_a 10.074
_cell_length_b 10.074
_cell_length_c 6.231
_cell_angle_alpha 90.00
_cell_angle_beta 90.00
_cell_angle_gamma 90.00
_space_group_name_H-M_alt 'P 42/n'
_space_group_IT_number 86
loop_
_space_group_symop_operation_xyz
'x,y,z'
'-x,-y,-z'
'-y,x+1/2,z+1/2'
'y,-x+1/2,-z+1/2'
'-x+1/2,-y+1/2,z'
'x+1/2,y+1/2,-z'
'y+1/2,-x,z+1/2'
'-y+1/2,x,-z+1/2'
loop_
_atom_site_label
_atom_site_type_symbol
_atom_site_fract_x
_atom_site_fract_y
_atom_site_fract_z
_atom_site_occupancy
Sr1 Sr 0.250 0.250 0.250 1
Ca1 Ca 0.096 0.648 0.124 1
Al1 Al 0.035 0.595 0.622 1
```

Output
**Electronic total energy**: -24.6 eV/f.u.
**M_tot**: 0.0 μB/f.u.
**Formation energy**: 0.02 eV per formula unit

=====

No. 13
VASP calculation (PBE) on an optimized crystal structure of Sr2Ca2Al.

Structure (CIF):
```
data_Sr2Ca2Al
_cell_length_a 8.453
_cell_length_b 8.453
_cell_length_c 6.163
_cell_angle_alpha 90.00
_cell_angle_beta 90.00
_cell_angle_gamma 90.00
_space_group_name_H-M_alt 'P 4/m b m'
_space_group_IT_number 127
_space_group_name_Hall '-P 4 2ab'
loop_
_atom_site_label
_atom_site_type_symbol
_atom_site_fract_x
_atom_site_fract_y
_atom_site_fract_z
_atom_site_occupancy
Sr1 Sr 0.154 0.346 0.000 1
Ca1 Ca 0.168 0.668 0.500 1
Al1 Al 0.000 0.000 0.000 1
```

Output
**Electronic total energy**: -9.9 eV/f.u.
**M_tot**: 0.0 μB/f.u.
**Relative energy among the computed polymorphs**: 137 meV per atom
**Formation energy**: 1.19 eV per formula unit

=====

No. 14
VASP calculation (PBE) on an optimized crystal structure of SrCa2Al2.

Structure (CIF):
```
data_SrCa2Al2
_cell_length_a 12.299
_cell_length_b 4.504
_cell_length_c 6.256
_cell_angle_alpha 90.00
_cell_angle_beta 100.49
_cell_angle_gamma 90.00
_space_group_name_H-M_alt 'C 1 2/m 1'
_space_group_IT_number 12
loop_
_space_group_symop_operation_xyz
'x,y,z'
'-x,-y,-z'
'-x,y,-z'
'x,-y,z'
'x+1/2,y+1/2,z'
'-x+1/2,-y+1/2,-z'
'-x+1/2,y+1/2,-z'
'x+1/2,-y+1/2,z'
loop_
_atom_site_label
_atom_site_type_symbol
_atom_site_fract_x
_atom_site_fract_y
_atom_site_fract_z
_atom_site_occupancy
Sr1 Sr 0.000 0.000 0.000 1
Ca1 Ca 0.153 0.500 0.587 1
Al1 Al 0.226 0.500 0.103 1
```

Output
**Electronic total energy**: -13.8 eV/f.u.
**M_tot**: 0.0 μB/f.u.
**Relative energy among the computed polymorphs**: 0 meV per atom
**Formation energy**: -0.66 eV per formula unit

=====

No. 15
VASP calculation (PBE) on an optimized crystal structure of SrCaAl.

Structure (CIF):
```
data_SrCaAl
_cell_length_a 16.073
_cell_length_b 4.472
_cell_length_c 6.464
_cell_angle_alpha 90.00
_cell_angle_beta 102.18
_cell_angle_gamma 90.00
_space_group_name_H-M_alt 'C 1 2/m 1'
_space_group_IT_number 12
loop_
_space_group_symop_operation_xyz
'x,y,z'
'-x,-y,-z'
'-x,y,-z'
'x,-y,z'
'x+1/2,y+1/2,z'
'-x+1/2,-y+1/2,-z'
'-x+1/2,y+1/2,-z'
'x+1/2,-y+1/2,z'
loop_
_atom_site_label
_atom_site_type_symbol
_atom_site_fract_x
_atom_site_fract_y
_atom_site_fract_z
_atom_site_occupancy
Sr1 Sr 0.147 0.000 0.327 1
Ca1 Ca 0.085 0.500 0.799 1
Al1 Al 0.232 0.000 0.882 1
```

Output
**Electronic total energy**: -7.8 eV/f.u.
**M_tot**: 0.0 μB/f.u.
**Formation energy**: -0.39 eV per formula unit

=====

No. 16
VASP calculation (PBE) on an optimized crystal structure of SrCa2Al2.

Structure (CIF):
```
data_SrCa2Al2
_cell_length_a 5.531
_cell_length_b 5.531
_cell_length_c 11.460
_cell_angle_alpha 90.00
_cell_angle_beta 90.00
_cell_angle_gamma 90.00
_space_group_name_H-M_alt 'I 4/m m m'
_space_group_IT_number 139
_space_group_name_Hall '-I 4 2'
loop_
_atom_site_label
_atom_site_type_symbol
_atom_site_fract_x
_atom_site_fract_y
_atom_site_fract_z
_atom_site_occupancy
Sr1 Sr 0.000 0.000 0.000 1
Ca1 Ca 0.000 0.000 0.350 1
Al1 Al 0.000 0.500 0.250 1
```

Output
**Electronic total energy**: -12.4 eV/f.u.
**M_tot**: 0.0 μB/f.u.
**Relative energy among the computed polymorphs**: 276 meV per atom
**Formation energy**: 0.72 eV per formula unit

=====

No. 17
VASP calculation (PBE) on an optimized crystal structure of SrCa2Al2.

Structure (CIF):
```
data_SrCa2Al2
_cell_length_a 9.255
_cell_length_b 9.255
_cell_length_c 3.459
_cell_angle_alpha 90.00
_cell_angle_beta 90.00
_cell_angle_gamma 90.00
_space_group_name_H-M_alt 'P 4/m b m'
_space_group_IT_number 127
_space_group_name_Hall '-P 4 2ab'
loop_
_atom_site_label
_atom_site_type_symbol
_atom_site_fract_x
_atom_site_fract_y
_atom_site_fract_z
_atom_site_occupancy
Sr1 Sr 0.000 0.000 0.000 1
Ca1 Ca 0.127 0.373 0.000 1
Al1 Al 0.171 0.671 0.500 1
```

Output
**Electronic total energy**: -13.7 eV/f.u.
**M_tot**: 0.0 μB/f.u.
**Relative energy among the computed polymorphs**: 30 meV per atom
**Formation energy**: -0.51 eV per formula unit

=====

No. 18
VASP calculation (PBE) on an optimized crystal structure of Sr2CaAl.

Structure (CIF):
```
data_Sr2CaAl
_cell_length_a 4.0210
_cell_length_b 4.0210
_cell_length_c 35.4303
_cell_angle_alpha 90.00
_cell_angle_beta 90.00
_cell_angle_gamma 120.00
_space_group_name_H-M_alt 'R 3 m'
_space_group_IT_number 160
_space_group_name_Hall 'R 3 -2"'
loop_
_atom_site_label
_atom_site_type_symbol
_atom_site_fract_x
_atom_site_fract_y
_atom_site_fract_z
_atom_site_occupancy
Sr1 Sr 0.0000 0.0000 0.0000 1
Sr2 Sr 0.0000 0.0000 0.2301 1
Ca1 Ca 0.0000 0.0000 0.7647 1
Al1 Al 0.0000 0.0000 0.4948 1
```

Output
**Electronic total energy**: -8.8 eV/f.u.
**M_tot**: 0.0 μB/f.u.
**Formation energy**: 0.29 eV per formula unit

=====

No. 19
VASP calculation (PBE) on an optimized crystal structure of SrCaAl2.

Structure (CIF):
```
data_SrCaAl2
_cell_length_a 7.588
_cell_length_b 7.588
_cell_length_c 7.588
_cell_angle_alpha 90.00
_cell_angle_beta 90.00
_cell_angle_gamma 90.00
_space_group_name_H-M_alt 'F -4 3 m'
_space_group_IT_number 216
_space_group_name_Hall 'F -4 2 3'
loop_
_atom_site_label
_atom_site_type_symbol
_atom_site_fract_x
_atom_site_fract_y
_atom_site_fract_z
_atom_site_occupancy
Sr1 Sr 0.000 0.000 0.000 1
Ca1 Ca 0.250 0.250 0.250 1
Al1 Al 0.000 0.000 0.500 1
Al2 Al 0.250 0.250 0.750 1
```

Output
**Electronic total energy**: -10.6 eV/f.u.
**M_tot**: 0.0 μB/f.u.
**Formation energy**: 0.54 eV per formula unit

=====

No. 20
VASP calculation (PBE) on an optimized crystal structure of SrCaAl2.

Structure (CIF):
```
data_SrCaAl2
_cell_length_a 4.296
_cell_length_b 4.558
_cell_length_c 6.545
_cell_angle_alpha 90.00
_cell_angle_beta 109.08
_cell_angle_gamma 90.00
_space_group_name_H-M_alt 'P 1 m 1'
_space_group_IT_number 6
loop_
_space_group_symop_operation_xyz
'x,y,z'
'x,-y,z'
loop_
_atom_site_label
_atom_site_type_symbol
_atom_site_fract_x
_atom_site_fract_y
_atom_site_fract_z
_atom_site_occupancy
Sr1 Sr 0.000 0.000 0.000 1
Ca1 Ca 0.296 0.500 0.593 1
Al1 Al 0.597 0.500 0.193 1
Al2 Al 0.716 0.000 0.434 1
```

Output
**Electronic total energy**: -11.9 eV/f.u.
**M_tot**: 0.0 μB/f.u.
**Formation energy**: -0.76 eV per formula unit